This record from Alexandria via LeMat-Bulk describes a relaxed structure of DyLuCoPt. The functional is GGA-PBE.

E_form   -16.5 kcal/mol of atoms
Energy   -100.52 eV for the cell shown

a = 6.7849 Å, b = 6.7849 Å, c = 6.7849 Å
α = 90.00°, β = 90.00°, γ = 90.00°
Space group F-43m (No. 216)
Inequivalent atoms, fractional coordinates:
Dy  0.0000  0.0000  0.0000 (multiplicity 4)
Lu  0.0000  0.0000  0.5000 (multiplicity 4)
Co  0.2500  0.2500  0.2500 (multiplicity 4)
Pt  0.2500  0.2500  0.7500 (multiplicity 4)



This record from Alexandria via LeMat-Bulk describes a relaxed structure of Pm9TlSn2. The functional is GGA-PBE.

E_form   -8.6 kcal/mol of atoms
Energy   -57.60 eV for the cell shown

a = 4.9368 Å, b = 4.9368 Å, c = 14.7781 Å
α = 90.00°, β = 90.00°, γ = 90.00°
Space group P4/mmm (No. 123)
Inequivalent atoms, fractional coordinates:
Pm  0.0000  0.0000  0.0000 (multiplicity 1)
Pm  0.0000  0.0000  0.3354 (multiplicity 2)
Pm  0.0000  0.5000  0.1701 (multiplicity 4)
Pm  0.0000  0.5000  0.5000 (multiplicity 2)
Tl  0.5000  0.5000  0.0000 (multiplicity 1)
Sn  0.5000  0.5000  0.3331 (multiplicity 2)



This record from Alexandria via LeMat-Bulk describes a relaxed structure of BeAlSe2. The functional is GGA-PBE.

Energy   -29.51 eV for the cell shown
Distance to the lowest polymorph of the same formula   1.312 eV per formula unit
Energy relative to the elements, uncorrected   -0.080 eV per atom

a = 6.9319 Å, b = 6.9209 Å, c = 4.1271 Å
α = 90.00°, β = 114.65°, γ = 90.00°
Space group C2/m (No. 12)
Inequivalent atoms, fractional coordinates:
Be  0.0000  0.0000  0.0000 (multiplicity 2)
Al  0.0000  0.5000  0.0000 (multiplicity 2)
Se  0.2500  0.2500  0.0000 (multiplicity 4)



This record from Alexandria via LeMat-Bulk describes a relaxed structure of HgPtRh2W. The functional is GGA-PBE.

E_form   36.1 kcal/mol of atoms
Energy   -26.16 eV for the cell shown

a = 4.8905 Å, b = 4.8905 Å, c = 4.7090 Å
α = 90.00°, β = 90.00°, γ = 90.00°
Space group P4/mmm (No. 123)
Inequivalent atoms, fractional coordinates:
Hg  0.0000  0.0000  0.0000 (multiplicity 1)
Pt  0.5000  0.5000  0.5000 (multiplicity 1)
Rh  0.0000  0.5000  0.5000 (multiplicity 2)
W  0.5000  0.5000  0.0000 (multiplicity 1)



This record from Alexandria via LeMat-Bulk describes a relaxed structure of Pm6SmDyEr2. The functional is GGA-PBE.

E_form   2.7 kcal/mol of atoms
Energy   -183.15 eV for the cell shown

a = 9.2545 Å, b = 15.2149 Å, c = 9.6197 Å
α = 90.00°, β = 97.11°, γ = 90.00°
Space group C2/c (No. 15)
Inequivalent atoms, fractional coordinates:
Pm  0.0626  0.1783  0.4451 (multiplicity 8)
Pm  0.0971  0.3902  0.6183 (multiplicity 8)
Pm  0.2137  0.2241  0.8149 (multiplicity 8)
Sm  0.0000  0.0286  0.7500 (multiplicity 4)
Dy  0.0000  0.4103  0.2500 (multiplicity 4)
Er  0.2493  0.4508  0.9528 (multiplicity 8)



This record from Alexandria via LeMat-Bulk describes a relaxed structure of SrS2ClF. The functional is GGA-PBE.

Energy   -17.74 eV for the cell shown
Distance to the lowest polymorph of the same formula   0.000 eV per formula unit
Energy relative to the elements, uncorrected   -0.816 eV per atom

a = 4.2767 Å, b = 4.2767 Å, c = 5.7562 Å
α = 90.00°, β = 90.00°, γ = 90.00°
Space group P4/mmm (No. 123)
Inequivalent atoms, fractional coordinates:
Sr  0.0000  0.0000  0.0000 (multiplicity 1)
S  0.0000  0.5000  0.5000 (multiplicity 2)
Cl  0.5000  0.5000  0.0000 (multiplicity 1)
F  0.5000  0.5000  0.5000 (multiplicity 1)



This record from Alexandria via LeMat-Bulk describes a relaxed structure of PmBH4. The functional is GGA-PBE.

Energy   -51.89 eV for the cell shown

a = 3.7415 Å, b = 6.1355 Å, c = 5.0978 Å
α = 90.00°, β = 96.52°, γ = 90.00°
Space group P2_1/m (No. 11)
Inequivalent atoms, fractional coordinates:
Pm  0.2393  0.2500  0.0606 (multiplicity 2)
B  0.2765  0.7500  0.3928 (multiplicity 2)
H  0.1106  0.5853  0.3013 (multiplicity 4)
H  0.2395  0.7500  0.6339 (multiplicity 2)
H  0.3996  0.2500  0.6268 (multiplicity 2)



This record from Alexandria via LeMat-Bulk describes a relaxed structure of AlFeAg2. The functional is GGA-PBE.

E_form   2.6 kcal/mol of atoms
Energy   -52.39 eV for the cell shown

a = 2.8440 Å, b = 2.8440 Å, c = 26.8915 Å
α = 90.00°, β = 90.00°, γ = 120.00°
Space group R3m (No. 160, hexagonal axes)
Inequivalent atoms, fractional coordinates:
Al  0.0000  0.0000  0.0000 (multiplicity 3)
Fe  0.0000  0.0000  0.7397 (multiplicity 3)
Ag  0.0000  0.0000  0.2491 (multiplicity 3)
Ag  0.0000  0.0000  0.4899 (multiplicity 3)